Entry 1:
A plane-wave DFT calculation with meta-GGA SCAN was carried out for a PBEsol-optimized structure of KFeSb2Te.

Properties
The symmetry is P4/mmm, No. 123. Its theoretical density is 5.70 g/cm3. The total energy is -138.0 eV per formula unit.

Cell lengths 4.8307, 4.8307, 5.8202 Å; angles 90.00, 90.00, 90.00 degrees
Last column: magnetic moment on the atom in μB.
Fractional positions:
Sb 0.0000 0.5000 0.0000  -0.04
Sb 0.5000 0.0000 0.0000  -0.04
K 0.5000 0.5000 0.5000  0.00
Te 0.0000 0.0000 0.5000  -0.14
Fe 0.0000 0.0000 0.0000  2.07


Entry 2:
A plane-wave DFT calculation with meta-GGA SCAN was carried out for a PBEsol-optimized structure of ZrSc2Al.

Properties
The symmetry is Pm, No. 6. Its theoretical density is 4.05 g/cm3. The total energy is -67.5 eV per formula unit.

Cell lengths 3.1248, 4.7825, 5.9061 Å; angles 90.00, 104.85, 90.00 degrees
Fractional positions:
Sc 0.0360 0.0000 0.9561
Sc 0.7133 0.5000 0.2886
Al 0.4342 0.5000 0.7618
Zr 0.3164 0.0000 0.4935


Entry 3:
A plane-wave DFT calculation with meta-GGA SCAN was carried out for a PBEsol-optimized structure of MgBe2Os2.

Properties
The symmetry is P4/mbm, No. 127. Its theoretical density is 12.43 g/cm3. The total energy is -159.0 eV per formula unit.

Cell lengths 3.1501, 5.9894, 5.9894 Å; angles 90.00, 90.00, 90.00 degrees
Fractional positions:
Be 0.0000 0.3799 0.8799
Be 0.0000 0.8799 0.6201
Be 0.0000 0.6201 0.1201
Be 0.0000 0.1201 0.3799
Mg 0.0000 0.0000 0.0000
Mg 0.0000 0.5000 0.5000
Os 0.5000 0.1718 0.6718
Os 0.5000 0.6718 0.8282
Os 0.5000 0.8282 0.3282
Os 0.5000 0.3282 0.1718


Entry 4:
A plane-wave DFT calculation with meta-GGA SCAN was carried out for a PBEsol-optimized structure of ZrCu2Au.

Properties
Its energy above the most stable polymorph in this dataset is 0 meV/atom. The symmetry is Fm-3m, No. 225. Its theoretical density is 11.55 g/cm3. The total energy is -131.7 eV per formula unit.

Cell lengths 4.3893, 4.3869, 4.3893 Å; angles 59.98, 90.00, 120.02 degrees
Fractional positions:
Au 0.5000 0.0000 0.5000
Cu 0.2500 0.5000 0.2500
Cu 0.7500 0.5000 0.7500
Zr 0.0000 0.0000 0.0000


Repeat the third record exactly.
A plane-wave DFT calculation with meta-GGA SCAN was carried out for a PBEsol-optimized structure of MgBe2Os2.

Properties
The symmetry is P4/mbm, No. 127. Its theoretical density is 12.43 g/cm3. The total energy is -159.0 eV per formula unit.

Cell lengths 3.1501, 5.9894, 5.9894 Å; angles 90.00, 90.00, 90.00 degrees
Fractional positions:
Be 0.0000 0.3799 0.8799
Be 0.0000 0.8799 0.6201
Be 0.0000 0.6201 0.1201
Be 0.0000 0.1201 0.3799
Mg 0.0000 0.0000 0.0000
Mg 0.0000 0.5000 0.5000
Os 0.5000 0.1718 0.6718
Os 0.5000 0.6718 0.8282
Os 0.5000 0.8282 0.3282
Os 0.5000 0.3282 0.1718


> The lowest total energy belongs to which entry?

MgBe2Os2


> Which of these has the highest total energy?

ZrSc2Al